# 1
This record from the Alexandria database describes a relaxed NaGaAu3 crystal. The functional is GGA-PBE.

The formation energy is -0.25 eV/atom. The calculated total energy comes out at -0.2266 Ry per atom. Its energy above the most stable polymorph in this dataset is 0.0 meV per atom.

It has space group Cmcm (No. 63), with a = 5.881 Å, b = 12.621 Å, c = 5.469 Å, α = 90.00°, β = 90.00° and γ = 90.00°. The distinct sites, in fractional coordinates, are Na at (0.000, 0.114, 0.250), Ga at (0.000, 0.500, 0.000), Au at (0.000, 0.323, 0.750) and Au at (0.240, 0.134, 0.750).

***

# 2
This record from the Alexandria database describes a relaxed Tb2Pr2Y3 crystal. The functional is GGA-PBE.

The formation energy is 0.13 eV/atom. The calculated total energy comes out at -0.3915 Ry per atom. Its energy above the most stable polymorph in this dataset is 0.0 meV per atom.

It has space group C2/m (No. 12), with a = 16.928 Å, b = 3.519 Å, c = 8.850 Å, α = 90.00°, β = 116.43° and γ = 90.00°. The distinct sites, in fractional coordinates, are Tb at (0.140, 0.000, 0.408), Pr at (0.079, 0.500, 0.702), Y at (0.000, 0.500, 0.000) and Y at (0.220, 0.500, 0.148).

***

# 3
This record from the Alexandria database describes a relaxed HfNbAgB2 crystal. The functional is GGA-PBE.

The formation energy is 1.60 eV/atom. The calculated total energy comes out at -0.4152 Ry per atom.

It has space group P4/mmm (No. 123), with a = 4.105 Å, b = 4.105 Å, c = 5.101 Å, α = 90.00°, β = 90.00° and γ = 90.00°. The distinct sites, in fractional coordinates, are Hf at (0.000, 0.000, 0.000), Nb at (0.500, 0.500, 0.000), Ag at (0.500, 0.500, 0.500) and B at (0.000, 0.500, 0.500).